No. 1
# Ag7SbSe6

A relaxed structure of Ag7SbSe6 (PBE, Alexandria).

- symmetry = R3
- total DFT energy (no corrections) (eV/cell) = -45.61

Cell and atoms, written as CIF:
```
data_Ag7SbSe6
_chemical_formula_sum 'Ag7 Sb1 Se6'
_cell_length_a 7.400
_cell_length_b 7.400
_cell_length_c 8.074
_cell_angle_alpha 62.72
_cell_angle_beta 62.72
_cell_angle_gamma 60.00
_symmetry_space_group_name_H-M 'P 1'
_symmetry_Int_Tables_number 1
_symmetry_space_group_name_Hall 'P 1'
loop_
_atom_site_label
_atom_site_fract_x
_atom_site_fract_y
_atom_site_fract_z
Ag1 0.967 0.214 0.375
Ag2 0.543 0.029 0.646
Ag3 0.782 0.543 0.646
Ag4 0.670 0.670 0.990
Ag5 0.214 0.444 0.375
Ag6 0.444 0.967 0.375
Ag7 0.029 0.782 0.646
Sb1 0.998 0.998 0.005
Se1 0.739 0.136 0.774
Se2 0.652 0.254 0.237
Se3 0.856 0.652 0.237
Se4 0.136 0.350 0.774
Se5 0.350 0.739 0.774
Se6 0.254 0.856 0.237
```



No. 2
# Mo3Os

A relaxed structure of Mo3Os (PBE, Alexandria).

- E_form (eV per atom) = 0.122
- symmetry = P2/m
- polymorph energy (0 for the lowest one) (kJ/mol of atoms) = 11.65

Cell and atoms, written as CIF:
```
data_Mo3Os
_chemical_formula_sum 'Mo3 Os1'
_cell_length_a 2.742
_cell_length_b 4.408
_cell_length_c 5.220
_cell_angle_alpha 90.00
_cell_angle_beta 79.28
_cell_angle_gamma 90.00
_symmetry_space_group_name_H-M 'P 1'
_symmetry_Int_Tables_number 1
_symmetry_space_group_name_Hall 'P 1'
loop_
_atom_site_label
_atom_site_fract_x
_atom_site_fract_y
_atom_site_fract_z
Mo1 0.031 0.000 0.000
Mo2 0.469 0.000 0.500
Mo3 0.250 0.500 0.250
Os1 0.750 0.500 0.750
```



No. 3
# Ac2ThAg

A relaxed structure of Ac2ThAg (PBE, Alexandria).

- E_form (eV per atom) = 0.307
- symmetry = R-3m
- polymorph energy (0 for the lowest one) (kJ/mol of atoms) = 34.97

Cell and atoms, written as CIF:
```
data_Ac2ThAg
_chemical_formula_sum 'Ac2 Th1 Ag1'
_cell_length_a 3.671
_cell_length_b 3.671
_cell_length_c 12.497
_cell_angle_alpha 81.55
_cell_angle_beta 81.55
_cell_angle_gamma 60.00
_symmetry_space_group_name_H-M 'P 1'
_symmetry_Int_Tables_number 1
_symmetry_space_group_name_Hall 'P 1'
loop_
_atom_site_label
_atom_site_fract_x
_atom_site_fract_y
_atom_site_fract_z
Ac1 0.097 0.097 0.708
Ac2 0.903 0.903 0.292
Ag1 0.500 0.500 0.500
Th1 0.000 0.000 0.000
```



No. 4
# HoFeCoSi2

A relaxed structure of HoFeCoSi2 (PBE, Alexandria).

- symmetry = I-4m2
- total DFT energy (no corrections) (eV/cell) = -34.86

Cell and atoms, written as CIF:
```
data_HoFeCoSi2
_chemical_formula_sum 'Ho1 Fe1 Co1 Si2'
_cell_length_a 3.916
_cell_length_b 3.916
_cell_length_c 5.526
_cell_angle_alpha 110.76
_cell_angle_beta 110.76
_cell_angle_gamma 90.00
_symmetry_space_group_name_H-M 'P 1'
_symmetry_Int_Tables_number 1
_symmetry_space_group_name_Hall 'P 1'
loop_
_atom_site_label
_atom_site_fract_x
_atom_site_fract_y
_atom_site_fract_z
Ho1 0.000 0.000 0.000
Fe1 0.250 0.750 0.500
Co1 0.750 0.250 0.500
Si1 0.631 0.631 0.262
Si2 0.369 0.369 0.738
```



No. 5
# K2LiCuCl4

A relaxed structure of K2LiCuCl4 (PBE, Alexandria).

- symmetry = Imma
- total DFT energy (no corrections) (eV/cell) = -54.70

Cell and atoms, written as CIF:
```
data_K2LiCuCl4
_chemical_formula_sum 'K4 Li2 Cu2 Cl8'
_cell_length_a 8.542
_cell_length_b 8.542
_cell_length_c 9.685
_cell_angle_alpha 124.52
_cell_angle_beta 124.52
_cell_angle_gamma 75.86
_symmetry_space_group_name_H-M 'P 1'
_symmetry_Int_Tables_number 1
_symmetry_space_group_name_Hall 'P 1'
loop_
_atom_site_label
_atom_site_fract_x
_atom_site_fract_y
_atom_site_fract_z
K1 0.500 0.000 0.000
K2 0.500 0.000 0.500
K3 0.000 0.000 0.500
K4 0.500 0.500 0.000
Li1 0.000 0.500 0.000
Li2 0.000 0.500 0.500
Cu1 0.500 0.500 0.500
Cu2 0.000 0.000 0.000
Cl1 0.222 0.818 0.020
Cl2 0.682 0.278 0.480
Cl3 0.318 0.722 0.520
Cl4 0.778 0.182 0.980
Cl5 0.789 0.711 0.043
Cl6 0.789 0.711 0.457
Cl7 0.211 0.289 0.543
Cl8 0.211 0.289 0.957
```



No. 6
# Ac2BAs

A relaxed structure of Ac2BAs (PBE, Alexandria).

- E_form (eV per atom) = -0.080
- symmetry = Fm-3m
- polymorph energy (0 for the lowest one) (kJ/mol of atoms) = 25.04

Cell and atoms, written as CIF:
```
data_Ac2BAs
_chemical_formula_sum 'Ac2 B1 As1'
_cell_length_a 5.299
_cell_length_b 5.299
_cell_length_c 5.299
_cell_angle_alpha 60.00
_cell_angle_beta 60.00
_cell_angle_gamma 60.00
_symmetry_space_group_name_H-M 'P 1'
_symmetry_Int_Tables_number 1
_symmetry_space_group_name_Hall 'P 1'
loop_
_atom_site_label
_atom_site_fract_x
_atom_site_fract_y
_atom_site_fract_z
Ac1 0.250 0.250 0.250
Ac2 0.750 0.750 0.750
B1 0.500 0.500 0.500
As1 0.000 0.000 0.000
```



No. 7
# Cs2Sb2Au3

A relaxed structure of Cs2Sb2Au3 (PBE, Alexandria).

- symmetry = R-3m
- polymorph energy (0 for the lowest one) (kJ/mol of atoms) = 7.28

Cell and atoms, written as CIF:
```
data_Cs2Sb2Au3
_chemical_formula_sum 'Cs2 Sb2 Au3'
_cell_length_a 7.348
_cell_length_b 7.348
_cell_length_c 7.348
_cell_angle_alpha 62.10
_cell_angle_beta 62.10
_cell_angle_gamma 62.10
_symmetry_space_group_name_H-M 'P 1'
_symmetry_Int_Tables_number 1
_symmetry_space_group_name_Hall 'P 1'
loop_
_atom_site_label
_atom_site_fract_x
_atom_site_fract_y
_atom_site_fract_z
Cs1 0.500 0.500 0.500
Cs2 0.000 0.000 0.000
Sb1 0.748 0.748 0.748
Sb2 0.252 0.252 0.252
Au1 0.000 0.000 0.500
Au2 0.000 0.500 0.000
Au3 0.500 0.000 0.000
```



No. 8
# KPI3

A relaxed structure of KPI3 (PBE, Alexandria).

- symmetry = Pm-3m
- polymorph energy (0 for the lowest one) (kJ/mol of atoms) = 107.73

Cell and atoms, written as CIF:
```
data_KPI3
_chemical_formula_sum 'K1 P1 I3'
_cell_length_a 6.700
_cell_length_b 6.700
_cell_length_c 6.700
_cell_angle_alpha 90.00
_cell_angle_beta 90.00
_cell_angle_gamma 90.00
_symmetry_space_group_name_H-M 'P 1'
_symmetry_Int_Tables_number 1
_symmetry_space_group_name_Hall 'P 1'
loop_
_atom_site_label
_atom_site_fract_x
_atom_site_fract_y
_atom_site_fract_z
I1 0.000 0.500 0.000
I2 0.000 0.000 0.500
I3 0.500 0.000 0.000
P1 0.500 0.500 0.500
K1 0.000 0.000 0.000
```



No. 9
# Nb3BiI

A relaxed structure of Nb3BiI (PBE, Alexandria).

- symmetry = Pm-3m
- polymorph energy (0 for the lowest one) (kJ/mol of atoms) = 0.00

Cell and atoms, written as CIF:
```
data_Nb3BiI
_chemical_formula_sum 'Nb3 Bi1 I1'
_cell_length_a 5.061
_cell_length_b 5.061
_cell_length_c 5.061
_cell_angle_alpha 90.00
_cell_angle_beta 90.00
_cell_angle_gamma 90.00
_symmetry_space_group_name_H-M 'P 1'
_symmetry_Int_Tables_number 1
_symmetry_space_group_name_Hall 'P 1'
loop_
_atom_site_label
_atom_site_fract_x
_atom_site_fract_y
_atom_site_fract_z
I1 0.000 0.000 0.000
Nb1 0.000 0.500 0.000
Nb2 0.000 0.000 0.500
Nb3 0.500 0.000 0.000
Bi1 0.500 0.500 0.500
```



No. 10
# Ni3HI

A relaxed structure of Ni3HI (PBE, Alexandria).

- symmetry = Pm-3m
- polymorph energy (0 for the lowest one) (kJ/mol of atoms) = 0.00

Cell and atoms, written as CIF:
```
data_Ni3HI
_chemical_formula_sum 'Ni3 H1 I1'
_cell_length_a 3.866
_cell_length_b 3.866
_cell_length_c 3.866
_cell_angle_alpha 90.00
_cell_angle_beta 90.00
_cell_angle_gamma 90.00
_symmetry_space_group_name_H-M 'P 1'
_symmetry_Int_Tables_number 1
_symmetry_space_group_name_Hall 'P 1'
loop_
_atom_site_label
_atom_site_fract_x
_atom_site_fract_y
_atom_site_fract_z
I1 0.500 0.500 0.500
Ni1 0.000 0.500 0.000
Ni2 0.000 0.000 0.500
Ni3 0.500 0.000 0.000
H1 0.000 0.000 0.000
```



No. 11
# Sm6TePt2Se3

A relaxed structure of Sm6TePt2Se3 (PBE, Alexandria).

- symmetry = C2/m
- total DFT energy (no corrections) (eV/cell) = -72.05

Cell and atoms, written as CIF:
```
data_Sm6TePt2Se3
_chemical_formula_sum 'Sm6 Te1 Pt2 Se3'
_cell_length_a 4.151
_cell_length_b 8.676
_cell_length_c 9.580
_cell_angle_alpha 104.83
_cell_angle_beta 102.51
_cell_angle_gamma 90.00
_symmetry_space_group_name_H-M 'P 1'
_symmetry_Int_Tables_number 1
_symmetry_space_group_name_Hall 'P 1'
loop_
_atom_site_label
_atom_site_fract_x
_atom_site_fract_y
_atom_site_fract_z
Sm1 0.325 0.890 0.651
Sm2 0.670 0.578 0.340
Sm3 0.675 0.110 0.349
Sm4 0.007 0.269 0.014
Sm5 0.993 0.731 0.986
Sm6 0.330 0.422 0.660
Te1 0.500 0.000 0.000
Pt1 0.832 0.660 0.663
Pt2 0.168 0.340 0.337
Se1 0.500 0.500 0.000
Se2 0.840 0.159 0.680
Se3 0.160 0.841 0.320
```



No. 12
# Fe2NiIr

A relaxed structure of Fe2NiIr (PBE, Alexandria).

- E_form (eV per atom) = 0.531
- symmetry = I-42d

Cell and atoms, written as CIF:
```
data_Fe2NiIr
_chemical_formula_sum 'Fe4 Ni2 Ir2'
_cell_length_a 3.516
_cell_length_b 3.516
_cell_length_c 8.521
_cell_angle_alpha 78.09
_cell_angle_beta 78.09
_cell_angle_gamma 90.00
_symmetry_space_group_name_H-M 'P 1'
_symmetry_Int_Tables_number 1
_symmetry_space_group_name_Hall 'P 1'
loop_
_atom_site_label
_atom_site_fract_x
_atom_site_fract_y
_atom_site_fract_z
Ni1 0.500 0.500 0.000
Ni2 0.250 0.750 0.500
Ir1 0.000 0.000 0.000
Ir2 0.750 0.250 0.500
Fe1 0.580 0.125 0.250
Fe2 0.170 0.625 0.250
Fe3 0.375 0.420 0.750
Fe4 0.875 0.830 0.750
```



Please write out number 12 again, unchanged.
# Fe2NiIr

A relaxed structure of Fe2NiIr (PBE, Alexandria).

- E_form (eV per atom) = 0.531
- symmetry = I-42d

Cell and atoms, written as CIF:
```
data_Fe2NiIr
_chemical_formula_sum 'Fe4 Ni2 Ir2'
_cell_length_a 3.516
_cell_length_b 3.516
_cell_length_c 8.521
_cell_angle_alpha 78.09
_cell_angle_beta 78.09
_cell_angle_gamma 90.00
_symmetry_space_group_name_H-M 'P 1'
_symmetry_Int_Tables_number 1
_symmetry_space_group_name_Hall 'P 1'
loop_
_atom_site_label
_atom_site_fract_x
_atom_site_fract_y
_atom_site_fract_z
Ni1 0.500 0.500 0.000
Ni2 0.250 0.750 0.500
Ir1 0.000 0.000 0.000
Ir2 0.750 0.250 0.500
Fe1 0.580 0.125 0.250
Fe2 0.170 0.625 0.250
Fe3 0.375 0.420 0.750
Fe4 0.875 0.830 0.750
```